Entry 1:
# Al4W (PBE, optimized geometry)
data_Al4W
_chemical_formula_sum 'Al24 W6'
_space_group_name_H-M_alt 'P 42/m n m'
_space_group_IT_number 136
_space_group_name_Hall '-P 4n 2n'
_cell_length_a 9.672
_cell_length_b 9.672
_cell_length_c 5.050
_cell_angle_alpha 90.00
_cell_angle_beta 90.00
_cell_angle_gamma 90.00
loop_
_atom_site_label
_atom_site_fract_x
_atom_site_fract_y
_atom_site_fract_z
Al1 0.041 0.373 0.000
Al2 0.072 0.263 0.500
Al3 0.174 0.826 0.248
W1 0.000 0.000 0.500
W2 0.118 0.118 0.000
# final energy = -165.832 eV per cell

Entry 2:
# DyNbSn (PBE, optimized geometry)
data_DyNbSn
_chemical_formula_sum 'Dy4 Nb4 Sn4'
_space_group_name_H-M_alt 'F -4 3 m'
_space_group_IT_number 216
_space_group_name_Hall 'F -4 2 3'
_cell_length_a 7.055
_cell_length_b 7.055
_cell_length_c 7.055
_cell_angle_alpha 90.00
_cell_angle_beta 90.00
_cell_angle_gamma 90.00
loop_
_atom_site_label
_atom_site_fract_x
_atom_site_fract_y
_atom_site_fract_z
Dy1 0.000 0.000 0.000
Nb1 0.250 0.250 0.750
Sn1 0.250 0.250 0.250
# final energy = -65.865 eV per cell

Number 1: mass density 6.153 Mg/m³. Number 2: mass density 7.076 Mg/m³.